(w)
Sm2Ho3Th after structural relaxation, computed with PBE-GGA.

Calculated values
- DOS(E_F): 1.4051 states/eV/atom

Cell: 11.2979 5.0540 14.2809 Å, 90.00 108.47 90.00°
With the nearest neighbours (Å) after each atom.
Space group C2/m (No. 12)
Asymmetric unit:
Sm 0.0021 0.0000 0.3734 [4 per cell]  2 Sm 3.51-3.63, 7 Ho 3.51-3.61, 3 Th 3.56-3.58
Sm 0.0032 0.0000 0.1282 [4 per cell]  2 Sm 3.51-3.64, 8 Ho 3.53-3.61, 2 Th 3.54
Ho 0.1665 0.5000 0.0429 [4 per cell]  1 Th 3.54, 5 Sm 3.56-3.61, 6 Ho 3.57-3.60
Ho 0.1675 0.5000 0.7908 [4 per cell]  5 Sm 3.53-3.59, 4 Ho 3.54-3.60, 3 Th 3.55-3.60
Ho 0.1702 0.5000 0.5433 [4 per cell]  5 Sm 3.51-3.61, 4 Ho 3.54-3.65, 3 Th 3.55-3.59
Th 0.1680 0.5000 0.2911 [4 per cell]  5 Sm 3.54-3.58, 7 Ho 3.54-3.60

***

(x)
Sm2Ho3Th after structural relaxation, computed with PBE-GGA.

Calculated values
- DOS(E_F): 1.2646 states/eV/atom

Cell: 9.4336 12.3607 6.8371 Å, 90.00 90.00 90.00°
With the nearest neighbours (Å) after each atom.
Space group Cmc2_1 (No. 36)
Asymmetric unit:
Sm 0.1727 0.1495 0.0000 [8 per cell]  6 Ho 3.24-3.53, 1 Sm 3.26, 2 Th 3.47-3.52
Ho 0.0000 0.3544 0.2500 [4 per cell]  3 Th 3.41-3.60, 4 Sm 3.46-3.53, 4 Ho 3.56-3.76
Ho 0.1715 0.1168 0.4983 [8 per cell]  2 Ho 3.24-3.56, 4 Sm 3.24-3.45, 1 Th 3.56
Th 0.0000 0.3542 0.7483 [4 per cell]  7 Ho 3.41-3.76, 4 Sm 3.47-3.52

***

(w) is preferred energetically. Next in line: 198 meV/atom higher.

***

(w)
SmHo2Ti after structural relaxation, computed with PBE-GGA.

Calculated values
- DOS(E_F): 1.3745 states/eV/atom

Cell: 3.3588 3.3588 35.2758 Å, 90.00 90.00 120.00°
With the nearest neighbours (Å) after each atom.
Space group R-3m (No. 166, hexagonal axes)
Asymmetric unit:
Sm 0.0000 0.0000 0.0000 [3 per cell]  6 Sm 3.36, 6 Ho 3.53
Ho 0.0000 0.0000 0.4170 [6 per cell]  1 Ti 2.93
Ti 0.0000 0.0000 0.5000 [3 per cell]  2 Ho 2.93

***

(x)
SmHo2Ti after structural relaxation, computed with PBE-GGA.

Calculated values
- DOS(E_F): 1.5969 states/eV/atom

Cell: 3.3845 3.3845 9.7150 Å, 90.00 90.00 90.00°
With the nearest neighbours (Å) after each atom.
Space group P4/mmm (No. 123)
Asymmetric unit:
Sm 0.0000 0.0000 0.0000 [1 per cell]  4 Sm 3.38, 8 Ho 3.66
Ho 0.5000 0.5000 0.2855 [2 per cell]  4 Ti 3.17, 4 Ho 3.38
Ti 0.0000 0.0000 0.5000 [1 per cell]  8 Ho 3.17, 4 Ti 3.38

***

(x) is preferred energetically. Next in line: 269 meV/atom higher.

***

(w)
SmHo6Tl after structural relaxation, computed with PBE-GGA.

Calculated values
- DOS(E_F): 1.0550 states/eV/atom

Cell: 4.8913 4.8913 10.0313 Å, 90.00 90.00 90.00°
With the nearest neighbours (Å) after each atom.
Space group P4/mmm (No. 123)
Asymmetric unit:
Sm 0.0000 0.0000 0.0000 [1 per cell]  12 Ho 3.46-3.54
Ho 0.0000 0.5000 0.2558 [4 per cell]  8 Ho 3.46-3.54, 2 Tl 3.46, 2 Sm 3.54
Ho 0.5000 0.5000 0.0000 [1 per cell]  4 Sm 3.46, 8 Ho 3.54
Ho 0.5000 0.5000 0.5000 [1 per cell]  4 Tl 3.46, 8 Ho 3.46
Tl 0.0000 0.0000 0.5000 [1 per cell]  12 Ho 3.46

***

(x)
SmHo6Tl after structural relaxation, computed with PBE-GGA.

Calculated values
- DOS(E_F): 1.2746 states/eV/atom

Cell: 9.2219 9.2219 10.0961 Å, 90.00 90.00 120.00°
With the nearest neighbours (Å) after each atom.
Space group R-3 (No. 148, hexagonal axes)
Asymmetric unit:
Sm 0.0000 0.0000 0.0000 [3 per cell]  12 Ho 3.46-3.63
Ho 0.0215 0.7647 0.7200 [18 per cell]  1 Tl 3.18, 2 Ho 3.19-3.26, 1 Sm 3.46
Tl 0.0000 0.0000 0.5000 [3 per cell]  6 Ho 3.18

***

(w) is preferred energetically. Next in line: 94 meV/atom higher.

***

(w)
SmHo2Tl after structural relaxation, computed with PBE-GGA.

Calculated values
- DOS(E_F): 1.2763 states/eV/atom

Cell: 3.6404 12.8733 10.2764 Å, 90.00 90.00 90.00°
With the nearest neighbours (Å) after each atom.
Space group Cmcm (No. 63)
Asymmetric unit:
Sm 0.0000 0.0401 0.2500 [4 per cell]  3 Tl 3.37-3.60, 8 Ho 3.58-3.67, 2 Sm 3.64
Ho 0.0000 0.3675 0.0272 [8 per cell]  3 Tl 3.24-3.29, 3 Ho 3.46-3.57, 2 Sm 3.58
Tl 0.0000 0.2399 0.7500 [4 per cell]  6 Ho 3.24-3.29, 3 Sm 3.37-3.60

***

(x)
SmHo2Tl after structural relaxation, computed with PBE-GGA.

Calculated values
- DOS(E_F): 1.2891 states/eV/atom

Cell: 4.8860 4.8860 4.8360 Å, 90.00 90.00 90.00°
With the nearest neighbours (Å) after each atom.
Space group P4/mmm (No. 123)
Asymmetric unit:
Sm 0.0000 0.0000 0.0000 [1 per cell]  8 Ho 3.44, 4 Tl 3.45
Ho 0.0000 0.5000 0.5000 [2 per cell]  4 Tl 3.44, 4 Sm 3.44, 4 Ho 3.45
Tl 0.5000 0.5000 0.0000 [1 per cell]  8 Ho 3.44, 4 Sm 3.45

***

(x) is preferred energetically. Next in line: 9 meV/atom higher.

***

(w)
SmHo2Tl after structural relaxation, computed with PBE-GGA.

Calculated values
- DOS(E_F): 1.0151 states/eV/atom

Cell: 3.5699 3.5699 33.0584 Å, 90.00 90.00 120.00°
With the nearest neighbours (Å) after each atom.
Space group R-3m (No. 166, hexagonal axes)
Asymmetric unit:
Sm 0.0000 0.0000 0.0000 [3 per cell]  6 Ho 3.55, 6 Sm 3.57
Ho 0.0000 0.0000 0.2458 [6 per cell]  3 Tl 3.33, 3 Sm 3.55, 6 Ho 3.57
Tl 0.0000 0.0000 0.5000 [3 per cell]  6 Ho 3.33, 6 Tl 3.57

***

(x)
SmHo2Tl after structural relaxation, computed with PBE-GGA.

Calculated values
- DOS(E_F): 1.0007 states/eV/atom

Cell: 3.6322 3.6322 9.1074 Å, 90.00 90.00 90.00°
With the nearest neighbours (Å) after each atom.
Space group P4/mmm (No. 123)
Asymmetric unit:
Sm 0.0000 0.0000 0.0000 [1 per cell]  8 Ho 3.58, 4 Sm 3.63
Ho 0.5000 0.5000 0.2741 [2 per cell]  4 Tl 3.29, 4 Sm 3.58, 4 Ho 3.63
Tl 0.0000 0.0000 0.5000 [1 per cell]  8 Ho 3.29, 4 Tl 3.63

***

(y)
SmHo2Tl after structural relaxation, computed with PBE-GGA.

Calculated values
- DOS(E_F): 0.9532 states/eV/atom

Cell: 4.6853 4.8130 11.1748 Å, 90.00 102.10 90.00°
With the nearest neighbours (Å) after each atom.
Space group P2_1/m (No. 11)
Asymmetric unit:
Sm 0.1926 0.2500 0.3860 [2 per cell]  5 Tl 3.15-3.42
Ho 0.0563 0.7500 0.1139 [2 per cell]  2 Tl 3.29-3.30, 8 Ho 3.36-3.55
Ho 0.4358 0.7500 0.8704 [2 per cell]  2 Tl 3.23, 6 Ho 3.36-3.55
Tl 0.3369 0.2500 0.6738 [2 per cell]  5 Sm 3.15-3.42, 4 Ho 3.23-3.30

***

(x) is preferred energetically. Next in line: 17 meV/atom higher.

***

(w)
SmHo2Tl after structural relaxation, computed with PBE-GGA.

Calculated values
- DOS(E_F): 1.4553 states/eV/atom

Cell: 3.6428 3.6428 32.2346 Å, 90.00 90.00 120.00°
With the nearest neighbours (Å) after each atom.
Space group R3m (No. 160, hexagonal axes)
Asymmetric unit:
Sm 0.0000 0.0000 0.0000 [3 per cell]  6 Ho 3.57-3.58, 6 Sm 3.64
Ho 0.0000 0.0000 0.5773 [3 per cell]  3 Tl 3.26, 3 Sm 3.57, 6 Ho 3.64
Ho 0.0000 0.0000 0.7564 [3 per cell]  3 Tl 3.25, 3 Sm 3.58
Tl 0.0000 0.0000 0.1667 [3 per cell]  6 Ho 3.25-3.26

***

(x)
SmHo2Tl after structural relaxation, computed with PBE-GGA.

Calculated values
- DOS(E_F): 1.3207 states/eV/atom

Cell: 7.7437 7.7437 7.7437 Å, 90.00 90.00 90.00°
With the nearest neighbours (Å) after each atom.
Space group Fm-3m (No. 225)
Asymmetric unit:
Sm 0.0000 0.0000 0.0000 [4 per cell]  8 Ho 3.35
Ho 0.2500 0.2500 0.2500 [8 per cell]  4 Tl 3.35, 4 Sm 3.35
Tl 0.0000 0.0000 0.5000 [4 per cell]  8 Ho 3.35

***

(w) is preferred energetically. Next in line: 98 meV/atom higher.

***

(w)
Sm6Ho3Tl after structural relaxation, computed with PBE-GGA.

Calculated values
- DOS(E_F): 1.2069 states/eV/atom

Cell: 9.7991 20.4556 6.3944 Å, 90.00 90.00 90.00°
With the nearest neighbours (Å) after each atom.
Space group Cmc2_1 (No. 36)
Asymmetric unit:
Sm 0.0000 0.0184 0.0000 [4 per cell]  1 Tl 3.18, 2 Sm 3.28, 2 Ho 3.48
Sm 0.0000 0.2864 0.9705 [4 per cell]  1 Ho 3.22, 1 Tl 3.23, 4 Sm 3.35-3.42
Sm 0.1820 0.4446 0.7455 [8 per cell]  3 Ho 3.41-3.57, 3 Sm 3.57-3.58, 1 Tl 3.71
Sm 0.1850 0.2831 0.5292 [8 per cell]  3 Ho 3.27-3.60, 4 Sm 3.35-3.63, 1 Tl 3.62
Ho 0.0000 0.4122 0.2725 [4 per cell]  7 Sm 3.22-3.60, 2 Ho 3.39
Ho 0.1699 0.1266 0.6713 [8 per cell]  1 Tl 3.25, 5 Sm 3.27-3.57, 2 Ho 3.33-3.39
Tl 0.0000 0.1539 0.2443 [4 per cell]  2 Sm 3.18-3.23, 2 Ho 3.25

***

(x)
Sm6Ho3Tl after structural relaxation, computed with PBE-GGA.

Calculated values
- DOS(E_F): 1.4028 states/eV/atom

Cell: 12.3169 3.5990 14.7656 Å, 90.00 93.85 90.00°
With the nearest neighbours (Å) after each atom.
Space group P2_1/m (No. 11)
Asymmetric unit:
Sm 0.0633 0.2500 0.3899 [2 per cell]  3 Tl 3.24-3.36, 2 Ho 3.59, 4 Sm 3.60-3.62
Sm 0.1201 0.7500 0.9532 [2 per cell]  4 Ho 3.44-3.52, 8 Sm 3.60-3.80
Sm 0.1996 0.2500 0.7512 [2 per cell]  2 Tl 3.37, 3 Ho 3.58-3.70, 4 Sm 3.60-3.67
Sm 0.2945 0.7500 0.3120 [2 per cell]  1 Ho 3.23, 8 Sm 3.41-3.62
Sm 0.3089 0.2500 0.1075 [2 per cell]  6 Sm 3.53-3.62, 5 Ho 3.56-3.64
Sm 0.3874 0.2500 0.4972 [2 per cell]  2 Tl 3.22, 6 Sm 3.30-3.60, 2 Ho 3.49
Ho 0.0737 0.7500 0.1805 [2 per cell]  7 Sm 3.23-3.59, 2 Ho 3.60
Ho 0.3999 0.7500 0.9185 [2 per cell]  3 Ho 3.37-3.60, 4 Sm 3.52-3.63
Ho 0.4492 0.7500 0.6969 [2 per cell]  3 Ho 3.37-3.60, 7 Sm 3.49-3.70, 1 Tl 3.70
Tl 0.1880 0.7500 0.5582 [2 per cell]  7 Sm 3.22-3.37, 2 Tl 3.60

***

(x) is preferred energetically. Next in line: 8 meV/atom higher.

***

(w)
Sm2Ho3Tl after structural relaxation, computed with PBE-GGA.

Calculated values
- DOS(E_F): 1.1849 states/eV/atom

Cell: 4.8658 15.2243 4.9061 Å, 90.00 90.00 90.00°
With the nearest neighbours (Å) after each atom.
Space group Cmmm (No. 65)
Asymmetric unit:
Sm 0.0000 0.1622 0.0000 [4 per cell]  8 Ho 3.46-3.58, 2 Tl 3.47, 2 Sm 3.62
Ho 0.0000 0.0000 0.5000 [2 per cell]  4 Tl 3.45, 4 Sm 3.48, 4 Ho 3.52
Ho 0.0000 0.3332 0.5000 [4 per cell]  6 Sm 3.46-3.58, 4 Ho 3.51-3.52, 2 Tl 3.53
Tl 0.0000 0.5000 0.0000 [2 per cell]  8 Ho 3.45-3.53, 4 Sm 3.47

***

(x)
Sm2Ho3Tl after structural relaxation, computed with PBE-GGA.

Calculated values
- DOS(E_F): 1.3630 states/eV/atom

Cell: 3.4582 17.4758 6.4265 Å, 90.00 90.00 90.00°
With the nearest neighbours (Å) after each atom.
Space group Imm2 (No. 44)
Asymmetric unit:
Sm 0.0000 0.1905 0.0000 [4 per cell]  4 Ho 3.32-3.50, 2 Sm 3.46, 1 Tl 3.61
Ho 0.0000 0.1356 0.4939 [4 per cell]  1 Tl 3.01, 1 Sm 3.32
Ho 0.0000 0.5000 0.7003 [2 per cell]  2 Tl 3.20, 6 Ho 3.46-3.49
Tl 0.0000 0.0000 0.7820 [2 per cell]  4 Ho 3.01-3.20

***

(w) is preferred energetically. Next in line: 219 meV/atom higher.

***

(w)
Sm2HoTl after structural relaxation, computed with PBE-GGA.

Calculated values
- DOS(E_F): 1.6090 states/eV/atom

Cell: 5.5766 5.5766 3.8906 Å, 90.00 90.00 90.00°
With the nearest neighbours (Å) after each atom.
Space group P4/mmm (No. 123)
Asymmetric unit:
Sm 0.0000 0.5000 0.0000 [2 per cell]  4 Tl 3.40, 4 Ho 3.40
Ho 0.0000 0.0000 0.5000 [1 per cell]  8 Sm 3.40
Tl 0.5000 0.5000 0.5000 [1 per cell]  8 Sm 3.40

***

(x)
Sm2HoTl after structural relaxation, computed with PBE-GGA.

Calculated values
- DOS(E_F): 1.0986 states/eV/atom

Cell: 6.7433 5.4074 6.8112 Å, 90.00 100.19 90.00°
With the nearest neighbours (Å) after each atom.
Space group P2_1/m (No. 11)
Asymmetric unit:
Sm 0.0877 0.2500 0.4066 [2 per cell]  1 Tl 3.21, 4 Sm 3.30-3.50, 2 Ho 3.53
Sm 0.1629 0.2500 0.9277 [2 per cell]  6 Sm 3.39-3.74, 3 Tl 3.40-3.42, 4 Ho 3.60-3.67
Ho 0.3692 0.7500 0.2682 [2 per cell]  4 Tl 3.17-3.53, 2 Sm 3.53
Tl 0.3891 0.7500 0.7533 [2 per cell]  4 Ho 3.17-3.53, 4 Sm 3.21-3.42

***

(x) is preferred energetically. Next in line: 77 meV/atom higher.

***

(w)
Sm2HoTl after structural relaxation, computed with PBE-GGA.

Calculated values
- DOS(E_F): 1.4015 states/eV/atom

Cell: 3.6411 3.6411 9.3698 Å, 90.00 90.00 90.00°
With the nearest neighbours (Å) after each atom.
Space group P4/mmm (No. 123)
Asymmetric unit:
Sm 0.0000 0.0000 0.2314 [2 per cell]  4 Tl 3.37, 4 Ho 3.60, 4 Sm 3.64
Ho 0.5000 0.5000 0.5000 [1 per cell]  8 Sm 3.60, 4 Ho 3.64
Tl 0.5000 0.5000 0.0000 [1 per cell]  8 Sm 3.37, 4 Tl 3.64

***

(x)
Sm2HoTl after structural relaxation, computed with PBE-GGA.

Calculated values
- DOS(E_F): 1.0909 states/eV/atom

Cell: 3.5703 3.5703 36.6385 Å, 90.00 90.00 120.00°
With the nearest neighbours (Å) after each atom.
Space group R-3m (No. 166, hexagonal axes)
Asymmetric unit:
Sm 0.0000 0.0000 0.0890 [6 per cell]  1 Tl 3.26, 3 Ho 3.51, 6 Sm 3.57
Ho 0.0000 0.0000 0.5000 [3 per cell]  6 Sm 3.51, 6 Ho 3.57
Tl 0.0000 0.0000 0.0000 [3 per cell]  2 Sm 3.26, 6 Tl 3.57

***

(w) is preferred energetically. Next in line: 228 meV/atom higher.

***

(w)
Sm2HoTl after structural relaxation, computed with PBE-GGA.

Calculated values
- DOS(E_F): 1.4076 states/eV/atom

Cell: 7.8296 7.8296 7.8296 Å, 90.00 90.00 90.00°
With the nearest neighbours (Å) after each atom.
Space group Fm-3m (No. 225)
Asymmetric unit:
Sm 0.2500 0.2500 0.2500 [8 per cell]  4 Tl 3.39, 4 Ho 3.39
Ho 0.0000 0.0000 0.0000 [4 per cell]  8 Sm 3.39
Tl 0.0000 0.0000 0.5000 [4 per cell]  8 Sm 3.39

***

(x)
Sm2HoTl after structural relaxation, computed with PBE-GGA.

Calculated values
- DOS(E_F): 1.2888 states/eV/atom

Cell: 7.8092 7.8092 7.8092 Å, 90.00 90.00 90.00°
With the nearest neighbours (Å) after each atom.
Space group F-43m (No. 216)
Asymmetric unit:
Sm 0.0000 0.0000 0.0000 [4 per cell]  4 Tl 3.38, 4 Sm 3.38
Sm 0.2500 0.2500 0.2500 [4 per cell]  4 Sm 3.38, 4 Ho 3.38
Ho 0.0000 0.0000 0.5000 [4 per cell]  4 Sm 3.38, 4 Tl 3.38
Tl 0.2500 0.2500 0.7500 [4 per cell]  4 Ho 3.38, 4 Sm 3.38

***

(y)
Sm2HoTl after structural relaxation, computed with PBE-GGA.

Calculated values
- DOS(E_F): 1.0070 states/eV/atom

Cell: 3.8829 5.3868 11.8117 Å, 90.00 90.00 90.00°
With the nearest neighbours (Å) after each atom.
Space group Immm (No. 71)
Asymmetric unit:
Sm 0.0000 0.0000 0.2221 [4 per cell]  2 Tl 3.26, 4 Sm 3.38
Ho 0.0000 0.5000 0.0000 [2 per cell]  4 Tl 3.32
Tl 0.0000 0.5000 0.5000 [2 per cell]  4 Sm 3.26, 4 Ho 3.32

***

(y) is preferred energetically. Next in line: 100 meV/atom higher.

***

(w)
Sm4HoTl2 after structural relaxation, computed with PBE-GGA.

Calculated values
- DOS(E_F): 1.4172 states/eV/atom

Cell: 5.9278 5.9278 12.8421 Å, 90.00 90.00 90.00°
With the nearest neighbours (Å) after each atom.
Space group I4/mmm (No. 139)
Asymmetric unit:
Sm 0.0000 0.5000 0.0000 [4 per cell]  2 Ho 2.96, 2 Sm 3.21
Sm 0.0000 0.5000 0.2500 [4 per cell]  2 Sm 3.21, 4 Tl 3.35
Ho 0.0000 0.0000 0.0000 [2 per cell]  4 Sm 2.96
Tl 0.0000 0.0000 0.3712 [4 per cell]  1 Tl 3.31, 8 Sm 3.35-3.39

***

(x)
Sm4HoTl2 after structural relaxation, computed with PBE-GGA.

Calculated values
- DOS(E_F): 1.7350 states/eV/atom

Cell: 5.5584 5.5584 26.7682 Å, 90.00 90.00 120.00°
With the nearest neighbours (Å) after each atom.
Space group R-3m (No. 166, hexagonal axes)
Asymmetric unit:
Sm 0.0000 0.0000 0.1308 [6 per cell]  3 Ho 3.35, 7 Sm 3.63-3.74
Sm 0.0000 0.0000 0.2666 [6 per cell]  4 Tl 3.16-3.24
Ho 0.0000 0.0000 0.5000 [3 per cell]  2 Tl 3.08, 6 Sm 3.35
Tl 0.0000 0.0000 0.3848 [6 per cell]  1 Ho 3.08, 4 Sm 3.16-3.24

***

(x) is preferred energetically. Next in line: 142 meV/atom higher.